[1]
Computed, not measured: crystalline Cu7Pd3Au2 at its relaxed geometry at the PBE level of DFT.

Values from the calculation:
The calculation puts the uncorrected energy at -4.22 eV per atom. The formation energy from the elements comes out at 0.3 kcal/mol of atoms.

abc: 4.256 2.746 15.010
angles: 90.00 90.40 90.00
Space group P2/m (No. 10)
Asymmetric unit:
Cu 0.000 0.000 0.000
Cu 0.133 0.500 0.855
Cu 0.250 0.500 0.459
Cu 0.369 0.000 0.142
Pd 0.251 0.000 0.613
Pd 0.500 0.500 0.000
Au 0.245 0.500 0.286

=====

[2]
Computed, not measured: crystalline Cu7PdAu4 at its relaxed geometry at the PBE level of DFT.

Values from the calculation:
The calculation puts the uncorrected energy at -3.90 eV per atom. The formation energy from the elements comes out at 0.2 kcal/mol of atoms.

abc: 3.964 5.336 8.853
angles: 77.96 77.24 89.85
Space group P-1 (No. 2)
Asymmetric unit:
Cu 0.000 0.000 0.000
Cu 0.235 0.847 0.531
Cu 0.298 0.464 0.405
Cu 0.440 0.707 0.121
Pd 0.000 0.500 0.000
Au 0.152 0.211 0.694
Au 0.403 0.181 0.195

=====

[3]
Computed, not measured: crystalline Cu2PdAu2 at its relaxed geometry at the PBE level of DFT.

Values from the calculation:
The calculation puts the uncorrected energy at -4.03 eV per atom. The formation energy from the elements comes out at -0.9 kcal/mol of atoms.

abc: 4.498 5.622 12.402
angles: 90.00 90.00 90.00
Space group Imma (No. 74)
Asymmetric unit:
Cu 0.000 0.003 0.187
Pd 0.000 0.250 0.367
Au 0.000 0.250 0.002
Au 0.000 0.250 0.631

=====

[4]
Computed, not measured: crystalline CuPd6Au3 at its relaxed geometry at the PBE level of DFT.

Values from the calculation:
The calculation puts the uncorrected energy at -4.56 eV per atom. The formation energy from the elements comes out at -1.1 kcal/mol of atoms.

abc: 2.851 4.843 23.155
angles: 90.00 90.05 90.00
Space group P2_1/c (No. 14)
Asymmetric unit:
Cu 0.000 0.000 0.000
Pd 0.000 0.161 0.402
Pd 0.000 0.186 0.696
Pd 0.500 0.153 0.095
Au 0.500 0.000 0.500
Au 0.500 0.185 0.801

=====

[5]
Computed, not measured: crystalline Cu2Pd5Au5 at its relaxed geometry at the PBE level of DFT.

Values from the calculation:
The calculation puts the uncorrected energy at -4.30 eV per atom. The formation energy from the elements comes out at -2.0 kcal/mol of atoms.

abc: 12.051 3.980 8.995
angles: 90.00 116.83 90.00
Space group C2/m (No. 12)
Asymmetric unit:
Cu 0.083 0.000 0.247
Pd 0.000 0.000 0.500
Pd 0.165 0.000 0.001
Pd 0.246 0.500 0.248
Au 0.000 0.500 0.000
Au 0.083 0.500 0.752
Au 0.167 0.500 0.498

=====

[6]
Computed, not measured: crystalline Cu4Pd7Au at its relaxed geometry at the PBE level of DFT.

Values from the calculation:
The calculation puts the uncorrected energy at -4.70 eV per atom. The formation energy from the elements comes out at -0.8 kcal/mol of atoms.

abc: 7.530 4.344 10.800
angles: 90.00 90.06 90.00
Space group C2/m (No. 12)
Asymmetric unit:
Cu 0.167 0.000 0.167
Cu 0.167 0.000 0.404
Pd 0.000 0.500 0.250
Pd 0.000 0.500 0.500
Pd 0.167 0.000 0.645
Pd 0.167 0.000 0.902
Au 0.000 0.500 0.000

=====

[7]
Computed, not measured: crystalline CuPd9Au2 at its relaxed geometry at the PBE level of DFT.

Values from the calculation:
The calculation puts the uncorrected energy at -4.84 eV per atom. The formation energy from the elements comes out at -1.3 kcal/mol of atoms.

abc: 3.971 3.971 11.888
angles: 90.00 90.00 90.00
Space group P4/mmm (No. 123)
Asymmetric unit:
Cu 0.000 0.000 0.000
Pd 0.000 0.500 0.158
Pd 0.000 0.500 0.500
Pd 0.500 0.500 0.000
Pd 0.500 0.500 0.328
Au 0.000 0.000 0.329

=====

[8]
Computed, not measured: crystalline Cu3Pd12Au at its relaxed geometry at the PBE level of DFT.

Values from the calculation:
The calculation puts the uncorrected energy at -4.92 eV per atom. The formation energy from the elements comes out at -1.3 kcal/mol of atoms.

abc: 3.922 3.922 15.633
angles: 90.00 90.00 90.00
Space group P4/mmm (No. 123)
Asymmetric unit:
Cu 0.000 0.000 0.000
Cu 0.000 0.000 0.245
Pd 0.000 0.500 0.123
Pd 0.000 0.500 0.367
Pd 0.500 0.500 0.000
Pd 0.500 0.500 0.245
Pd 0.500 0.500 0.500
Au 0.000 0.000 0.500

=====

[9]
Computed, not measured: crystalline Cu3Pd2Au at its relaxed geometry at the PBE level of DFT.

Values from the calculation:
The calculation puts the uncorrected energy at -4.43 eV per atom. The formation energy from the elements comes out at -2.4 kcal/mol of atoms.

abc: 2.894 2.894 10.168
angles: 90.00 90.00 90.00
Space group P4/mmm (No. 123)
Asymmetric unit:
Cu 0.000 0.000 0.000
Cu 0.000 0.000 0.325
Pd 0.500 0.500 0.163
Au 0.500 0.500 0.500

=====

[10]
Computed, not measured: crystalline Cu2Pd12Au5 at its relaxed geometry at the PBE level of DFT.

Values from the calculation:
The calculation puts the uncorrected energy at -4.54 eV per atom. The formation energy from the elements comes out at 0.8 kcal/mol of atoms.

abc: 12.526 7.503 6.597
angles: 90.00 91.24 90.00
Space group C2/m (No. 12)
Asymmetric unit:
Cu 0.000 0.183 0.000
Pd 0.054 0.000 0.324
Pd 0.087 0.500 0.892
Pd 0.122 0.198 0.664
Pd 0.151 0.315 0.242
Au 0.000 0.500 0.500
Au 0.195 0.000 0.998
Au 0.235 0.500 0.579

=====

[11]
Computed, not measured: crystalline Cu9PdAu2 at its relaxed geometry at the PBE level of DFT.

Values from the calculation:
The calculation puts the uncorrected energy at -4.11 eV per atom. The formation energy from the elements comes out at -1.5 kcal/mol of atoms.

abc: 3.779 3.779 11.170
angles: 90.00 90.00 90.00
Space group P4/mmm (No. 123)
Asymmetric unit:
Cu 0.000 0.000 0.000
Cu 0.000 0.000 0.331
Cu 0.000 0.500 0.162
Cu 0.000 0.500 0.500
Pd 0.500 0.500 0.000
Au 0.500 0.500 0.331

=====

[12]
Computed, not measured: crystalline CuPd3Au6 at its relaxed geometry at the PBE level of DFT.

Values from the calculation:
The calculation puts the uncorrected energy at -3.95 eV per atom. The formation energy from the elements comes out at -0.4 kcal/mol of atoms.

abc: 10.566 2.832 11.916
angles: 90.00 107.98 90.00
Space group P2_1/m (No. 11)
Asymmetric unit:
Cu 0.081 0.250 0.199
Pd 0.013 0.250 0.394
Pd 0.381 0.250 0.999
Pd 0.472 0.250 0.593
Au 0.137 0.750 0.024
Au 0.142 0.250 0.813
Au 0.217 0.250 0.603
Au 0.255 0.750 0.400
Au 0.337 0.250 0.219
Au 0.402 0.750 0.795